This record from Alexandria via LeMat-Bulk describes HfNpCoOs after structural relaxation. The functional is PBE.

Unit cell a=4.6438 b=4.6438 c=4.6438 alpha=60.00 beta=60.00 gamma=60.00
Closest atoms and distances in Å follow each position.
Fractional positions:
Co (0.2500, 0.2500, 0.2500)  4 Np 2.84, 4 Hf 2.84
Np (0.5000, 0.5000, 0.5000)  4 Os 2.84, 4 Co 2.84
Hf (0.0000, 0.0000, 0.0000)  4 Os 2.84, 4 Co 2.84
Os (0.7500, 0.7500, 0.7500)  4 Hf 2.84, 4 Np 2.84

Computed properties:
Its energy of formation is -0.4 eV/f.u.

This record from Alexandria via LeMat-Bulk describes HfNp2CoS5 after structural relaxation. The functional is PBE.

Unit cell a=3.6428 b=8.1988 c=11.4469 alpha=90.00 beta=90.00 gamma=102.84
Closest atoms and distances in Å follow each position.
Fractional positions:
S (0.4976, 0.9952, 0.2517)  1 Co 2.17
Hf (0.1753, 0.3506, 0.0207)  6 S 2.52-2.62, 2 Co 2.82
S (0.3390, 0.6780, 0.0189)  1 Hf 2.62, 4 Np 2.80-2.83
S (0.5024, 0.0048, 0.7517)  1 Co 2.17
Np (0.1045, 0.2090, 0.3472)  7 S 2.73-2.98
Co (0.4394, 0.8787, 0.4228)  4 S 2.17-2.24
S (0.6919, 0.3838, 0.8624)  1 Co 2.21
Np (0.8766, 0.7532, 0.1976)  8 S 2.73-3.03
Np (0.8955, 0.7910, 0.8472)  7 S 2.73-2.98
Co (0.5606, 0.1213, 0.9228)  4 S 2.17-2.24
S (0.3073, 0.6146, 0.6825)  2 Hf 2.61
S (0.9826, 0.9652, 0.5202)  2 Co 2.24
S (0.3081, 0.6162, 0.3624)  1 Co 2.21
Hf (0.8247, 0.6494, 0.5207)  6 S 2.52-2.62, 2 Co 2.82
Np (0.1234, 0.2468, 0.6976)  8 S 2.73-3.03
S (0.6610, 0.3220, 0.5189)  1 Hf 2.62, 4 Np 2.80-2.83
S (0.0174, 0.0348, 0.0202)  2 Co 2.24
S (0.6927, 0.3854, 0.1825)  2 Hf 2.61

Computed properties:
The calculation puts the formation energy from raw total energies at -1133 kJ/mol of formula units.